<a>
GGA-PBE Re2RhCl, relaxed; density of states at the Fermi level = 4.3 states/eV per cell; space-group type = No. 123; size of the total moment = 0.00 μB/cell
1.0
2.757 0.000 0.000
0.000 2.757 0.000
0.000 0.000 7.853
Re Rh Cl
2 1 1
Direct
0.000 0.000 0.246
0.000 0.000 0.754
0.500 0.500 0.000
0.500 0.500 0.500

<b>
GGA-PBE Re2RhCl, relaxed; density of states at the Fermi level = 8.4 states/eV per cell; space-group type = No. 35; size of the total moment = 0.00 μB/cell
1.0
2.829 0.000 0.000
0.000 4.894 0.000
0.000 0.000 8.960
Re Rh Cl
4 2 2
Direct
0.000 0.000 0.000
0.000 0.500 0.249
0.500 0.000 0.249
0.500 0.500 0.000
0.000 0.000 0.496
0.500 0.500 0.496
0.000 0.500 0.758
0.500 0.000 0.758

<c>
GGA-PBE Re2RhCl, relaxed; density of states at the Fermi level = 8.7 states/eV per cell; space-group type = No. 119; size of the total moment = 0.00 μB/cell
1.0
4.411 0.000 0.000
0.000 4.411 0.000
0.000 0.000 6.276
Re Rh Cl
4 2 2
Direct
0.000 0.000 0.000
0.000 0.500 0.250
0.500 0.000 0.750
0.500 0.500 0.500
0.000 0.500 0.750
0.500 0.000 0.250
0.000 0.000 0.500
0.500 0.500 0.000

<d>
GGA-PBE Re2RhCl, relaxed; density of states at the Fermi level = 3.7 states/eV per cell; space-group type = No. 47; size of the total moment = 0.00 μB/cell
1.0
2.796 0.000 0.000
0.000 3.779 0.000
0.000 0.000 6.284
Re Rh Cl
2 1 1
Direct
0.000 0.000 0.198
0.000 0.000 0.802
0.500 0.500 0.000
0.000 0.500 0.500

According to the calculations, the structures order from most to least stable as <b>, <d>, <a>, <c>.

<a>
GGA-PBE Re2RhCl, relaxed; density of states at the Fermi level = 3.5 states/eV per cell; space-group type = No. 99; size of the total moment = 0.00 μB/cell
1.0
2.855 0.000 0.000
0.000 2.855 0.000
0.000 0.000 7.601
Re Rh Cl
2 1 1
Direct
0.000 0.000 0.000
0.500 0.500 0.228
0.000 0.000 0.472
0.500 0.500 0.760

<b>
GGA-PBE Re2RhCl, relaxed; density of states at the Fermi level = 6.7 states/eV per cell; space-group type = No. 12; size of the total moment = 0.00 μB/cell
1.0
11.508 0.000 0.000
0.000 2.782 0.000
-0.542 0.000 4.020
Re Rh Cl
4 2 2
Direct
0.202 0.000 0.219
0.298 0.500 0.781
0.702 0.500 0.219
0.798 0.000 0.781
0.000 0.500 0.000
0.500 0.000 0.000
0.000 0.000 0.500
0.500 0.500 0.500

<c>
GGA-PBE Re2RhCl, relaxed; density of states at the Fermi level = 7.5 states/eV per cell; space-group type = No. 44; size of the total moment = 0.00 μB/cell
1.0
2.838 0.000 0.000
0.000 4.612 0.000
0.000 0.000 9.019
Re Rh Cl
4 2 2
Direct
0.000 0.000 0.000
0.000 0.500 0.249
0.500 0.000 0.749
0.500 0.500 0.500
0.000 0.000 0.479
0.500 0.500 0.979
0.000 0.500 0.730
0.500 0.000 0.230

According to the calculations, the structures order from most to least stable as <a>, <b>, <c>.

<a>
GGA-PBE Re2RhCl, relaxed; density of states at the Fermi level = 9.7 states/eV per cell; space-group type = No. 71; size of the total moment = 0.00 μB/cell
1.0
2.838 0.000 0.000
0.000 4.513 0.000
0.000 0.000 9.267
Re Rh Cl
4 2 2
Direct
0.000 0.000 0.227
0.000 0.000 0.773
0.500 0.500 0.273
0.500 0.500 0.727
0.000 0.500 0.000
0.500 0.000 0.500
0.000 0.500 0.500
0.500 0.000 0.000

<b>
GGA-PBE Re2RhCl, relaxed; density of states at the Fermi level = 7.4 states/eV per cell; space-group type = No. 8; size of the total moment = 0.00 μB/cell
1.0
9.426 0.000 0.000
0.000 2.820 0.000
-0.073 0.000 4.607
Re Rh Cl
4 2 2
Direct
0.000 0.000 0.000
0.211 0.500 0.757
0.500 0.500 0.000
0.711 0.000 0.757
0.441 0.000 0.523
0.941 0.500 0.523
0.210 0.000 0.329
0.710 0.500 0.329

<c>
GGA-PBE Re2RhCl, relaxed; density of states at the Fermi level = 4.1 states/eV per cell; space-group type = No. 123; size of the total moment = 0.00 μB/cell
1.0
4.605 0.000 0.000
0.000 4.605 0.000
0.000 0.000 2.786
Re Rh Cl
2 1 1
Direct
0.000 0.500 0.000
0.500 0.000 0.000
0.000 0.000 0.500
0.500 0.500 0.500

<d>
GGA-PBE Re2RhCl, relaxed; density of states at the Fermi level = 15.6 states/eV per cell; space-group type = No. 122; size of the total moment = 0.00 μB/cell
1.0
5.458 0.000 0.000
0.000 5.458 0.000
0.000 0.000 10.613
Re Rh Cl
8 4 4
Direct
0.228 0.250 0.125
0.250 0.728 0.375
0.250 0.772 0.875
0.272 0.250 0.625
0.728 0.750 0.625
0.750 0.228 0.875
0.750 0.272 0.375
0.772 0.750 0.125
0.000 0.000 0.500
0.000 0.500 0.750
0.500 0.000 0.250
0.500 0.500 0.000
0.000 0.000 0.000
0.000 0.500 0.250
0.500 0.000 0.750
0.500 0.500 0.500

According to the calculations, the structures order from most to least stable as <b>, <a>, <c>, <d>.

<a>
GGA-PBE Re2RhCl, relaxed; density of states at the Fermi level = 10.1 states/eV per cell; space-group type = No. 65; size of the total moment = 0.00 μB/cell
1.0
2.772 0.000 0.000
0.000 4.875 0.000
0.000 0.000 9.119
Re Rh Cl
4 2 2
Direct
0.000 0.000 0.249
0.000 0.000 0.751
0.500 0.500 0.249
0.500 0.500 0.751
0.000 0.500 0.000
0.500 0.000 0.000
0.000 0.500 0.500
0.500 0.000 0.500

<b>
GGA-PBE Re2RhCl, relaxed; density of states at the Fermi level = 12.8 states/eV per cell; space-group type = No. 160; size of the total moment = 0.00 μB/cell
1.0
2.851 0.000 0.000
-1.425 2.469 0.000
0.000 0.000 25.613
Re Rh Cl
6 3 3
Direct
0.000 0.000 0.000
0.000 0.000 0.250
0.333 0.667 0.667
0.333 0.667 0.917
0.667 0.333 0.333
0.667 0.333 0.583
0.000 0.000 0.500
0.333 0.667 0.167
0.667 0.333 0.833
0.000 0.000 0.746
0.333 0.667 0.413
0.667 0.333 0.079

According to the calculations, the structures order from most to least stable as <b>, <a>.

<a>
GGA-PBE ReRhCl3, relaxed; density of states at the Fermi level = 2.7 states/eV per cell; space-group type = No. 221; size of the total moment = 5.65 μB/cell
1.0
4.843 0.000 0.000
0.000 4.843 0.000
0.000 0.000 4.843
Re Rh Cl
1 1 3
Direct
0.000 0.000 0.000
0.500 0.500 0.500
0.000 0.500 0.500
0.500 0.000 0.500
0.500 0.500 0.000

<b>
GGA-PBE ReRhCl3, relaxed; density of states at the Fermi level = 15.8 states/eV per cell; space-group type = No. 221; size of the total moment = 2.30 μB/cell
1.0
4.803 0.000 0.000
0.000 4.803 0.000
0.000 0.000 4.803
Re Rh Cl
1 1 3
Direct
0.000 0.000 0.000
0.500 0.500 0.500
0.000 0.000 0.500
0.000 0.500 0.000
0.500 0.000 0.000

According to the calculations, the structures order from most to least stable as <a>, <b>.

<a>
GGA-PBE Re2RuCl, relaxed; density of states at the Fermi level = 6.6 states/eV per cell; space-group type = No. 12; size of the total moment = 0.00 μB/cell
1.0
10.119 0.000 0.000
0.000 2.873 0.000
-0.075 0.000 4.245
Re Ru Cl
4 2 2
Direct
0.212 0.000 0.228
0.288 0.500 0.772
0.712 0.500 0.228
0.788 0.000 0.772
0.000 0.500 0.000
0.500 0.000 0.000
0.000 0.000 0.500
0.500 0.500 0.500

<b>
GGA-PBE Re2RuCl, relaxed; density of states at the Fermi level = 5.0 states/eV per cell; space-group type = No. 123; size of the total moment = 0.00 μB/cell
1.0
3.592 0.000 0.000
0.000 3.592 0.000
0.000 0.000 4.931
Re Ru Cl
2 1 1
Direct
0.000 0.500 0.000
0.500 0.000 0.000
0.000 0.000 0.500
0.500 0.500 0.500

<c>
GGA-PBE Re2RuCl, relaxed; density of states at the Fermi level = 8.3 states/eV per cell; space-group type = No. 166; size of the total moment = 0.00 μB/cell
1.0
2.828 0.000 0.000
-1.414 2.449 0.000
0.000 0.000 25.608
Re Ru Cl
6 3 3
Direct
0.000 0.000 0.250
0.000 0.000 0.750
0.333 0.667 0.416
0.333 0.667 0.917
0.667 0.333 0.083
0.667 0.333 0.584
0.000 0.000 0.000
0.333 0.667 0.667
0.667 0.333 0.333
0.000 0.000 0.500
0.333 0.667 0.167
0.667 0.333 0.833

According to the calculations, the structures order from most to least stable as <c>, <a>, <b>.

<a>
GGA-PBE Re2RuCl, relaxed; density of states at the Fermi level = 3.6 states/eV per cell; space-group type = No. 6; size of the total moment = 0.00 μB/cell
1.0
2.838 0.000 0.000
0.000 3.968 0.000
-1.410 0.000 5.240
Re Ru Cl
2 1 1
Direct
0.000 0.000 0.000
0.363 0.500 0.726
0.612 0.500 0.226
0.238 0.000 0.450

<b>
GGA-PBE Re2RuCl, relaxed; density of states at the Fermi level = 11.0 states/eV per cell; space-group type = No. 65; size of the total moment = 0.00 μB/cell
1.0
2.800 0.000 0.000
0.000 4.869 0.000
0.000 0.000 9.045
Re Ru Cl
4 2 2
Direct
0.000 0.000 0.245
0.000 0.000 0.755
0.500 0.500 0.245
0.500 0.500 0.755
0.000 0.500 0.000
0.500 0.000 0.000
0.000 0.500 0.500
0.500 0.000 0.500

<c>
GGA-PBE Re2RuCl, relaxed; density of states at the Fermi level = 22.6 states/eV per cell; space-group type = No. 122; size of the total moment = 0.00 μB/cell
1.0
5.619 0.000 0.000
0.000 5.619 0.000
0.000 0.000 10.103
Re Ru Cl
8 4 4
Direct
0.239 0.250 0.125
0.250 0.739 0.375
0.250 0.761 0.875
0.261 0.250 0.625
0.739 0.750 0.625
0.750 0.239 0.875
0.750 0.261 0.375
0.761 0.750 0.125
0.000 0.000 0.500
0.000 0.500 0.750
0.500 0.000 0.250
0.500 0.500 0.000
0.000 0.000 0.000
0.000 0.500 0.250
0.500 0.000 0.750
0.500 0.500 0.500

<d>
GGA-PBE Re2RuCl, relaxed; density of states at the Fermi level = 8.8 states/eV per cell; space-group type = No. 65; size of the total moment = 0.00 μB/cell
1.0
5.112 0.000 0.000
0.000 8.397 0.000
0.000 0.000 2.832
Re Ru Cl
4 2 2
Direct
0.250 0.250 0.000
0.250 0.750 0.000
0.750 0.250 0.000
0.750 0.750 0.000
0.000 0.000 0.500
0.500 0.500 0.500
0.000 0.500 0.500
0.500 0.000 0.500

According to the calculations, the structures order from most to least stable as <a>, <b>, <d>, <c>.

<a>
GGA-PBE Re2RuCl, relaxed; density of states at the Fermi level = 10.1 states/eV per cell; space-group type = No. 35; size of the total moment = 1.09 μB/cell
1.0
2.839 0.000 0.000
0.000 4.879 0.000
0.000 0.000 8.894
Re Ru Cl
4 2 2
Direct
0.000 0.000 0.000
0.000 0.500 0.250
0.500 0.000 0.250
0.500 0.500 0.000
0.000 0.500 0.753
0.500 0.000 0.753
0.000 0.000 0.502
0.500 0.500 0.502

<b>
GGA-PBE Re2RuCl, relaxed; density of states at the Fermi level = 3.0 states/eV per cell; space-group type = No. 47; size of the total moment = 0.00 μB/cell
1.0
2.763 0.000 0.000
0.000 3.538 0.000
0.000 0.000 6.634
Re Ru Cl
2 1 1
Direct
0.000 0.000 0.208
0.000 0.000 0.792
0.500 0.500 0.000
0.500 0.500 0.500

<c>
GGA-PBE Re2RuCl, relaxed; density of states at the Fermi level = 3.9 states/eV per cell; space-group type = No. 123; size of the total moment = 0.00 μB/cell
1.0
4.578 0.000 0.000
0.000 4.578 0.000
0.000 0.000 2.812
Re Ru Cl
2 1 1
Direct
0.000 0.500 0.000
0.500 0.000 0.000
0.000 0.000 0.500
0.500 0.500 0.500

<d>
GGA-PBE Re2RuCl, relaxed; density of states at the Fermi level = 3.8 states/eV per cell; space-group type = No. 47; size of the total moment = 0.00 μB/cell
1.0
2.828 0.000 0.000
0.000 4.537 0.000
0.000 0.000 4.704
Re Ru Cl
2 1 1
Direct
0.000 0.000 0.000
0.500 0.500 0.000
0.000 0.500 0.500
0.500 0.000 0.500

According to the calculations, the structures order from most to least stable as <a>, <b>, <d>, <c>.

<a>
GGA-PBE Re2RuCl, relaxed; density of states at the Fermi level = 6.0 states/eV per cell; space-group type = No. 8; size of the total moment = 0.00 μB/cell
1.0
9.608 0.000 0.000
0.000 2.842 0.000
-0.022 0.000 4.510
Re Ru Cl
4 2 2
Direct
0.000 0.000 0.000
0.204 0.500 0.261
0.500 0.500 0.000
0.704 0.000 0.261
0.273 0.000 0.802
0.773 0.500 0.802
0.495 0.000 0.574
0.995 0.500 0.574

<b>
GGA-PBE Re2RuCl, relaxed; density of states at the Fermi level = 7.5 states/eV per cell; space-group type = No. 71; size of the total moment = 0.00 μB/cell
1.0
2.876 0.000 0.000
0.000 4.458 0.000
0.000 0.000 9.092
Re Ru Cl
4 2 2
Direct
0.000 0.000 0.229
0.000 0.000 0.771
0.500 0.500 0.271
0.500 0.500 0.729
0.000 0.500 0.000
0.500 0.000 0.500
0.000 0.500 0.500
0.500 0.000 0.000

<c>
GGA-PBE Re2RuCl, relaxed; density of states at the Fermi level = 19.4 states/eV per cell; space-group type = No. 225; size of the total moment = 0.00 μB/cell
1.0
6.182 0.000 0.000
0.000 6.182 0.000
0.000 0.000 6.182
Re Ru Cl
8 4 4
Direct
0.250 0.250 0.250
0.250 0.250 0.750
0.250 0.750 0.250
0.250 0.750 0.750
0.750 0.250 0.250
0.750 0.250 0.750
0.750 0.750 0.250
0.750 0.750 0.750
0.000 0.000 0.000
0.000 0.500 0.500
0.500 0.000 0.500
0.500 0.500 0.000
0.000 0.000 0.500
0.000 0.500 0.000
0.500 0.000 0.000
0.500 0.500 0.500

According to the calculations, the structures order from most to least stable as <a>, <b>, <c>.